## NaCaMg3 (PBEsol)

Data for a geometry-optimized NaCaMg3 structure.

Computed properties:
**ΔE_f**: 703.9 meV/atom
**E**: -1.033 eV/atom

Cell lengths 6.0464, 6.0464, 6.0464 Å; angles 90.00, 90.00, 90.00 degrees
Last column: nearest neighbours and their distance in Å.
Space group Pm-3m (No. 221)
Inequivalent atoms, fractional coordinates:
Na 0.0000 0.0000 0.0000 [1 per cell]  12 Mg 4.28
Ca 0.5000 0.5000 0.5000 [1 per cell]  6 Mg 3.02
Mg 0.0000 0.5000 0.5000 [3 per cell]  2 Ca 3.02

=====

## InPt2Rh (PBEsol)

Data for a geometry-optimized InPt2Rh structure.

Computed properties:
**ΔE_f**: -161.2 meV/atom
**E**: -6.423 eV/atom

Cell lengths 6.3123, 6.3123, 6.3123 Å; angles 90.00, 90.00, 90.00 degrees
Last column: nearest neighbours and their distance in Å.
Space group F-43m (No. 216)
Inequivalent atoms, fractional coordinates:
In 0.0000 0.0000 0.0000 [4 per cell]  4 Pt 2.73, 4 Rh 2.73
Pt 0.0000 0.0000 0.5000 [4 per cell]  4 Rh 2.73, 4 Pt 2.73
Pt 0.2500 0.2500 0.7500 [4 per cell]  4 In 2.73, 4 Pt 2.73
Rh 0.2500 0.2500 0.2500 [4 per cell]  4 In 2.73, 4 Pt 2.73

=====

## CeLuAl4 (PBEsol)

Data for a geometry-optimized CeLuAl4 structure.

Computed properties:
**ΔE_f**: -421.0 meV/atom
**E**: -5.060 eV/atom

Cell lengths 7.7910, 7.7910, 7.7910 Å; angles 90.00, 90.00, 90.00 degrees
Last column: nearest neighbours and their distance in Å.
Space group F-43m (No. 216)
Inequivalent atoms, fractional coordinates:
Ce 0.0000 0.0000 0.0000 [4 per cell]  12 Al 3.23, 4 Lu 3.37
Lu 0.2500 0.2500 0.2500 [4 per cell]  12 Al 3.23, 4 Ce 3.37
Al 0.1254 0.1254 0.6254 [16 per cell]  6 Al 2.75-2.76

=====

## Tl2SbW (PBEsol)

Data for a geometry-optimized Tl2SbW structure.

Computed properties:
**E**: -4.978 eV/atom
**ΔE to the lowest computed polymorph**: 56 meV/atom

Cell lengths 3.2467, 5.0354, 5.3845 Å; angles 90.00, 90.00, 90.00 degrees
Last column: nearest neighbours and their distance in Å.
Space group Pmmm (No. 47)
Inequivalent atoms, fractional coordinates:
Tl 0.0000 0.0000 0.0000 [1 per cell]  6 Tl 3.00-3.25, 4 W 3.14
Tl 0.5000 0.5000 0.0000 [1 per cell]  6 Tl 3.00-3.25, 4 Sb 3.14
Sb 0.0000 0.5000 0.5000 [1 per cell]  4 W 3.00, 4 Tl 3.14, 2 Sb 3.25
W 0.5000 0.0000 0.5000 [1 per cell]  4 Sb 3.00, 4 Tl 3.14, 2 W 3.25

=====

## NaIr2RhN (PBEsol)

Data for a geometry-optimized NaIr2RhN structure.

Computed properties:
**E**: -5.053 eV/atom

Cell lengths 4.5993, 4.5993, 5.5025 Å; angles 90.00, 90.00, 90.00 degrees
Last column: nearest neighbours and their distance in Å.
Space group P4/mmm (No. 123)
Inequivalent atoms, fractional coordinates:
Na 0.0000 0.0000 0.0000 [1 per cell]  2 Rh 2.75
Ir 0.0000 0.5000 0.5000 [2 per cell]  2 Rh 2.30
Rh 0.0000 0.0000 0.5000 [1 per cell]  4 Ir 2.30
N 0.5000 0.5000 0.0000 [1 per cell]  4 Na 3.25, 8 Ir 3.59

=====

## SrYNi2 (PBEsol)

Data for a geometry-optimized SrYNi2 structure.

Computed properties:
**ΔE_f**: -12.7 meV/atom
**E**: -5.257 eV/atom

Cell lengths 7.8072, 4.4892, 5.8027 Å; angles 90.00, 116.66, 90.00 degrees
Last column: nearest neighbours and their distance in Å.
Space group C2/m (No. 12)
Inequivalent atoms, fractional coordinates:
Sr 0.0000 0.0000 0.0000 [2 per cell]  8 Ni 3.15-3.31
Y 0.0000 0.5000 0.5000 [2 per cell]  6 Ni 2.66
Ni 0.2033 0.0000 0.6077 [4 per cell]  3 Y 2.66, 3 Ni 2.82-2.84

=====

## Ti2BePd (PBEsol)

Data for a geometry-optimized Ti2BePd structure.

Computed properties:
**ΔE_f**: 190.4 meV/atom
**E**: -6.460 eV/atom

Cell lengths 3.5208, 3.5208, 18.6448 Å; angles 90.00, 90.00, 90.00 degrees
Last column: nearest neighbours and their distance in Å.
Space group I-42d (No. 122)
Inequivalent atoms, fractional coordinates:
Ti 0.2451 0.2500 0.1250 [8 per cell]  4 Ti 2.47-2.51, 2 Be 2.64, 2 Pd 2.65
Be 0.0000 0.0000 0.0000 [4 per cell]  4 Pd 2.49, 4 Ti 2.64
Pd 0.0000 0.0000 0.5000 [4 per cell]  4 Be 2.49, 4 Ti 2.65

=====

## BiBPt3 (PBEsol)

Data for a geometry-optimized BiBPt3 structure.

Computed properties:
**ΔE_f**: -214.0 meV/atom
**E**: -6.652 eV/atom

Cell lengths 10.5092, 5.6780, 5.8947 Å; angles 90.00, 114.67, 90.00 degrees
Last column: nearest neighbours and their distance in Å.
Space group C2/m (No. 12)
Inequivalent atoms, fractional coordinates:
Bi 0.0739 0.0000 0.2868 [4 per cell]  8 Pt 2.84-3.07, 1 Bi 3.08
B 0.1602 0.5000 0.0042 [4 per cell]  6 Pt 2.17-2.20
Pt 0.0578 0.5000 0.2596 [4 per cell]  2 B 2.17-2.19
Pt 0.1907 0.2530 0.7431 [8 per cell]  2 B 2.19-2.20

=====

## SmY15O24 (PBEsol)

Data for a geometry-optimized SmY15O24 structure.

Computed properties:
**E**: -9.459 eV/atom

Cell lengths 14.9137, 10.5647, 10.5569 Å; angles 90.00, 134.92, 90.00 degrees
Last column: nearest neighbours and their distance in Å.
Space group C2 (No. 5)
Inequivalent atoms, fractional coordinates:
Sm 0.0000 0.0000 0.0000 [2 per cell]  6 O 2.29-2.37
Y 0.0000 0.4354 0.5000 [2 per cell]  6 O 2.24-2.31
Y 0.0000 0.5012 0.0000 [2 per cell]  6 O 2.24-2.32
Y 0.0000 0.9358 0.5000 [2 per cell]  6 O 2.24-2.32
Y 0.0334 0.2192 0.7829 [4 per cell]  6 O 2.24-2.32
Y 0.0326 0.7173 0.2835 [4 per cell]  6 O 2.24-2.33
Y 0.2490 0.2171 0.7481 [4 per cell]  6 O 2.26-2.28
Y 0.2490 0.4677 0.5310 [4 per cell]  6 O 2.23-2.32
Y 0.2493 0.7192 0.7490 [4 per cell]  6 O 2.26-2.28
Y 0.2496 0.4686 0.0329 [4 per cell]  6 O 2.24-2.32
O 0.1090 0.0884 0.7075 [4 per cell]  4 Y 2.24-2.32
O 0.1094 0.3484 0.0110 [4 per cell]  4 Y 2.24-2.32
O 0.1092 0.5885 0.5111 [4 per cell]  4 Y 2.24-2.32
O 0.1120 0.8451 0.2132 [4 per cell]  3 Y 2.24-2.32, 1 Sm 2.29
O 0.1190 0.3172 0.4788 [4 per cell]  4 Y 2.24-2.31
O 0.1203 0.6203 0.9801 [4 per cell]  4 Y 2.24-2.32
O 0.1200 0.8175 0.7609 [4 per cell]  4 Y 2.24-2.32
O 0.1223 0.1210 0.2662 [4 per cell]  3 Y 2.24-2.28, 1 Sm 2.37
O 0.1510 0.5764 0.2808 [4 per cell]  4 Y 2.23-2.33
O 0.1512 0.8591 0.5218 [4 per cell]  4 Y 2.24-2.33
O 0.1524 0.3592 0.7819 [4 per cell]  4 Y 2.24-2.32
O 0.1540 0.0807 0.0225 [4 per cell]  3 Y 2.24-2.31, 1 Sm 2.30

=====

## ZnNi3 (PBEsol)

Data for a geometry-optimized ZnNi3 structure.

Computed properties:
**ΔE_f**: -53.0 meV/atom
**E**: -5.067 eV/atom

Cell lengths 2.5056, 2.5056, 24.0756 Å; angles 90.00, 90.00, 120.00 degrees
Last column: nearest neighbours and their distance in Å.
Space group R-3m (No. 166, hexagonal axes)
Inequivalent atoms, fractional coordinates:
Zn 0.0000 0.0000 0.0000 [3 per cell]  6 Ni 2.50, 6 Zn 2.51
Ni 0.0000 0.0000 0.2485 [6 per cell]  9 Ni 2.44-2.51, 3 Zn 2.50
Ni 0.0000 0.0000 0.5000 [3 per cell]  12 Ni 2.44-2.51

=====

## Ni3Mo (PBEsol)

Data for a geometry-optimized Ni3Mo structure.

Computed properties:
**ΔE_f**: -55.5 meV/atom
**E**: -7.616 eV/atom

Cell lengths 4.5286, 4.5286, 4.5286 Å; angles 90.00, 90.00, 90.00 degrees
Last column: nearest neighbours and their distance in Å.
Space group Pm-3n (No. 223)
Inequivalent atoms, fractional coordinates:
Ni 0.0000 0.2500 0.5000 [6 per cell]  2 Ni 2.26, 4 Mo 2.53
Mo 0.0000 0.0000 0.0000 [2 per cell]  12 Ni 2.53

=====

## NaMgAl5P4H10O24 (PBEsol)

Data for a geometry-optimized NaMgAl5P4H10O24 structure.

Computed properties:
**E**: -6.751 eV/atom

Cell lengths 25.0276, 5.0337, 13.4715 Å; angles 90.00, 111.04, 90.00 degrees
Last column: nearest neighbours and their distance in Å.
Space group C2/c (No. 15)
Inequivalent atoms, fractional coordinates:
Na 0.0000 0.1441 0.2500 [4 per cell]  6 O 2.32-2.47
Mg 0.2500 0.2500 0.5000 [4 per cell]  6 O 2.03-2.10
Al 0.0000 0.0000 0.0000 [4 per cell]  6 O 1.88-1.96
Al 0.1412 0.2172 0.3514 [8 per cell]  6 O 1.83-1.98
Al 0.1514 0.0174 0.1091 [8 per cell]  6 O 1.87-1.97
P 0.0807 0.2835 0.8955 [8 per cell]  4 O 1.54-1.56
P 0.2158 0.2706 0.8266 [8 per cell]  4 O 1.51-1.56
H 0.0047 0.4617 0.0947 [8 per cell]  1 O 1.01
H 0.0661 0.2818 0.1444 [8 per cell]  1 O 1.05
H 0.0756 0.2320 0.6272 [8 per cell]  1 O 0.98
H 0.1454 0.4278 0.1968 [8 per cell]  1 O 1.01
H 0.1573 0.3962 0.5248 [8 per cell]  1 O 1.00
O 0.0207 0.2321 0.9026 [8 per cell]  1 P 1.56, 1 H 1.67
O 0.0216 0.2775 0.1039 [8 per cell]  2 H 1.01-1.05
O 0.0749 0.1291 0.5651 [8 per cell]  1 H 0.98
O 0.0801 0.4466 0.3421 [8 per cell]  1 P 1.54
O 0.0916 0.0625 0.8259 [8 per cell]  1 P 1.54
O 0.1269 0.2870 0.0077 [8 per cell]  1 P 1.54
O 0.1287 0.2506 0.2046 [8 per cell]  1 H 1.01
O 0.1682 0.2132 0.5091 [8 per cell]  1 H 1.00
O 0.1737 0.2625 0.7099 [8 per cell]  1 P 1.55, 1 H 1.69
O 0.1972 0.4960 0.3827 [8 per cell]  1 P 1.56
O 0.2088 0.0069 0.8804 [8 per cell]  1 P 1.55
O 0.2226 0.1849 0.1621 [8 per cell]  1 P 1.51

=====

We obtain calculated volume values of 44.2 15.7 19.7 22.0 23.3 22.7 14.4 16.0 14.7 10.9 11.6 8.8 Å³/atom for the records listed above, in that order.